## Y3Tm2Te8 (PBE)

Data for crystalline Y3Tm2Te8 at its relaxed geometry.

a = 7.471 Å, b = 8.661 Å, c = 8.760 Å
α = 119.62°, β = 106.01°, γ = 90.00°
Sites, in units of the cell vectors:
Y 0.500 0.000 0.000
Y 0.000 0.257 0.000
Y 0.000 0.743 0.000
Tm 0.331 0.250 0.500
Tm 0.669 0.750 0.500
Te 0.892 0.617 0.234
Te 0.108 0.383 0.766
Te 0.917 0.123 0.246
Te 0.083 0.877 0.754
Te 0.587 0.628 0.753
Te 0.587 0.125 0.753
Te 0.413 0.875 0.247
Te 0.413 0.372 0.247

## Properties
As for the space-group type: C2/m (12).

=====

## Y4TmTe5 (PBE)

Data for crystalline Y4TmTe5 at its relaxed geometry.

a = 6.133 Å, b = 7.553 Å, c = 7.553 Å
α = 80.51°, β = 66.05°, γ = 66.05°
Sites, in units of the cell vectors:
Y 0.410 0.409 0.774
Y 0.819 0.774 0.591
Y 0.183 0.226 0.409
Y 0.592 0.591 0.226
Tm 0.001 0.000 0.000
Te 0.892 0.398 0.820
Te 0.290 0.820 0.602
Te 0.712 0.180 0.398
Te 0.110 0.602 0.180
Te 0.501 0.000 0.000

## Properties
As for the space-group type: I4/m (87). The energy above the most stable polymorph in this dataset is 6.6 meV/atom.

=====

## Tm5Zn2Te (PBE)

Data for crystalline Tm5Zn2Te at its relaxed geometry.

a = 8.022 Å, b = 8.022 Å, c = 8.432 Å
α = 118.40°, β = 118.40°, γ = 90.00°
Sites, in units of the cell vectors:
Tm 0.509 0.705 0.714
Tm 0.795 0.991 0.286
Tm 0.000 0.000 0.000
Tm 0.500 0.500 0.000
Tm 0.205 0.009 0.714
Tm 0.705 0.205 0.714
Tm 0.009 0.509 0.714
Tm 0.295 0.795 0.286
Tm 0.991 0.491 0.286
Tm 0.491 0.295 0.286
Zn 0.142 0.358 0.000
Zn 0.642 0.142 0.000
Zn 0.358 0.858 0.000
Zn 0.858 0.642 0.000
Te 0.750 0.750 0.500
Te 0.250 0.250 0.500

## Properties
As for the space-group type: I4/mcm (140).

=====

## Tm5ZnTe4 (PBE)

Data for crystalline Tm5ZnTe4 at its relaxed geometry.

a = 6.035 Å, b = 7.422 Å, c = 7.422 Å
α = 80.48°, β = 66.01°, γ = 66.01°
Sites, in units of the cell vectors:
Tm 0.905 0.369 0.823
Tm 0.274 0.823 0.631
Tm 0.728 0.177 0.369
Tm 0.097 0.631 0.177
Tm 0.502 0.000 0.000
Zn 0.002 0.000 0.000
Te 0.412 0.397 0.782
Te 0.809 0.782 0.603
Te 0.193 0.218 0.397
Te 0.590 0.603 0.218

## Properties
As for the space-group type: I4/m (87).

=====

## Tm3ZnTe6 (PBE)

Data for crystalline Tm3ZnTe6 at its relaxed geometry.

a = 7.082 Å, b = 9.568 Å, c = 9.568 Å
α = 102.08°, β = 90.00°, γ = 90.00°
Sites, in units of the cell vectors:
Tm 0.478 0.928 0.724
Tm 0.978 0.724 0.928
Tm 0.388 0.391 0.609
Tm 0.888 0.609 0.391
Tm 0.978 0.072 0.276
Tm 0.478 0.276 0.072
Zn 0.027 0.207 0.793
Zn 0.527 0.793 0.207
Te 0.182 0.689 0.636
Te 0.682 0.636 0.689
Te 0.211 0.446 0.909
Te 0.711 0.909 0.446
Te 0.170 0.039 0.961
Te 0.658 0.225 0.775
Te 0.158 0.775 0.225
Te 0.670 0.961 0.039
Te 0.211 0.091 0.554
Te 0.711 0.554 0.091
Te 0.182 0.364 0.311
Te 0.682 0.311 0.364

## Properties
As for the space-group type: Cmc2_1 (36).

=====

## Tm4ZnTe (PBE)

Data for crystalline Tm4ZnTe at its relaxed geometry.

a = 5.815 Å, b = 7.629 Å, c = 8.301 Å
α = 90.00°, β = 90.00°, γ = 105.84°
Sites, in units of the cell vectors:
Tm 0.590 0.493 0.750
Tm 0.410 0.507 0.250
Tm 0.430 0.006 0.750
Tm 0.570 0.994 0.250
Tm 0.020 0.734 0.053
Tm 0.980 0.266 0.553
Tm 0.020 0.734 0.447
Tm 0.980 0.266 0.947
Zn 0.153 0.589 0.750
Zn 0.847 0.411 0.250
Te 0.892 0.913 0.750
Te 0.108 0.087 0.250

## Properties
As for the space-group type: P2_1/m (11). The energy above the most stable polymorph in this dataset is 209.7 meV/atom.

=====

## Tm2ZnTe (PBE)

Data for crystalline Tm2ZnTe at its relaxed geometry.

a = 3.754 Å, b = 3.754 Å, c = 6.863 Å
α = 90.00°, β = 90.00°, γ = 90.00°
Sites, in units of the cell vectors:
Zn 0.500 0.500 0.000
Tm 0.000 0.000 0.760
Tm 0.000 0.000 0.240
Te 0.500 0.500 0.500

## Properties
As for the space-group type: P4/mmm (123). The energy above the most stable polymorph in this dataset is 161.7 meV/atom.

=====

## Tm2ZnTe (PBE)

Data for crystalline Tm2ZnTe at its relaxed geometry.

a = 3.841 Å, b = 3.841 Å, c = 10.211 Å
α = 79.16°, β = 79.16°, γ = 60.00°
Sites, in units of the cell vectors:
Zn 0.000 0.000 0.000
Tm 0.098 0.098 0.705
Tm 0.902 0.902 0.295
Te 0.500 0.500 0.500

## Properties
As for the space-group type: R-3m (166). The energy above the most stable polymorph in this dataset is 631.4 meV/atom.

=====

The records above yield raw formation energy values of -1.2424, -1.2828, -0.4784, -1.0418, -1.0125, -0.2654, -0.6204, -0.1507 eV per atom, respectively.
The records above yield V values of 35.94, 29.22, 25.09, 27.75, 31.70, 29.52, 24.18, 31.84 A^3/atom, respectively.